1.
# SmGa4AgPd2 | Alexandria | PBE-GGA | relaxed
# size of the total moment	0.00	μB per formula unit
# ρ	8.55	g/cm3
# ΔE_f	-0.50	eV/atom
# crystal system	trigonal
data_SmGa4AgPd2
_symmetry_space_group_name_H-M 'R -3 m'
_symmetry_Int_Tables_number 166
_symmetry_space_group_name_Hall '-R 3 2"'
_cell_length_a 4.3380
_cell_length_b 4.3380
_cell_length_c 26.8164
_cell_angle_alpha 90.00
_cell_angle_beta 90.00
_cell_angle_gamma 120.00
loop_
_atom_site_label
_atom_site_type_symbol
_atom_site_fract_x
_atom_site_fract_y
_atom_site_fract_z
Sm1 Sm 0.0000 0.0000 0.0000
Ga1 Ga 0.0000 0.0000 0.1232
Ga2 Ga 0.0000 0.0000 0.3964
Ag1 Ag 0.0000 0.0000 0.5000
Pd1 Pd 0.0000 0.0000 0.2400

---

2.
# Pm6PrSc | Alexandria | PBE-GGA | relaxed
# size of the total moment	0.00	μB per formula unit
# ρ	6.00	g/cm3
# ΔE_f	0.37	eV/atom
# ΔE to the lowest computed polymorph	337	meV/atom
# crystal system	monoclinic
data_Pm6PrSc
_symmetry_space_group_name_H-M 'C 1 2/m 1'
_symmetry_Int_Tables_number 12
_symmetry_space_group_name_Hall '-C 2y'
_cell_length_a 9.1207
_cell_length_b 7.1722
_cell_length_c 9.2814
_cell_angle_alpha 90.00
_cell_angle_beta 105.65
_cell_angle_gamma 90.00
loop_
_atom_site_label
_atom_site_type_symbol
_atom_site_fract_x
_atom_site_fract_y
_atom_site_fract_z
Pm1 Pm 0.1335 0.0000 0.4259
Pm2 Pm 0.2004 0.2429 0.7911
Pr1 Pr 0.0000 0.0000 0.0000
Sc1 Sc 0.0000 0.5000 0.5000

---

3.
# PrLuAgPd | Alexandria | PBE-GGA | relaxed
# size of the total moment	0.00	μB per formula unit
# ρ	9.33	g/cm3
# ΔE_f	-0.54	eV/atom
# crystal system	cubic
data_PrLuAgPd
_symmetry_space_group_name_H-M 'F -4 3 m'
_symmetry_Int_Tables_number 216
_symmetry_space_group_name_Hall 'F -4 2 3'
_cell_length_a 7.2266
_cell_length_b 7.2266
_cell_length_c 7.2266
_cell_angle_alpha 90.00
_cell_angle_beta 90.00
_cell_angle_gamma 90.00
loop_
_atom_site_label
_atom_site_type_symbol
_atom_site_fract_x
_atom_site_fract_y
_atom_site_fract_z
Pr1 Pr 0.0000 0.0000 0.0000
Lu1 Lu 0.0000 0.0000 0.5000
Ag1 Ag 0.2500 0.2500 0.2500
Pd1 Pd 0.2500 0.2500 0.7500

---

4.
# NdBOsC | Alexandria | PBE-GGA | relaxed
# size of the total moment	0.10	μB per formula unit
# ρ	10.31	g/cm3
# ΔE_f	-0.15	eV/atom
# crystal system	tetragonal
data_NdBOsC
_symmetry_space_group_name_H-M 'P 4/n m m'
_symmetry_Int_Tables_number 129
_cell_length_a 3.7605
_cell_length_b 3.7605
_cell_length_c 8.1399
_cell_angle_alpha 90.00
_cell_angle_beta 90.00
_cell_angle_gamma 90.00
loop_
_symmetry_equiv_pos_as_xyz
'x,y,z'
'-x,-y,-z'
'-y+1/2,x,z'
'y+1/2,-x,-z'
'-x+1/2,-y+1/2,z'
'x+1/2,y+1/2,-z'
'y,-x+1/2,z'
'-y,x+1/2,-z'
'x+1/2,-y,-z'
'-x+1/2,y,z'
'-y,-x,-z'
'y,x,z'
'-x,y+1/2,-z'
'x,-y+1/2,z'
'y+1/2,x+1/2,-z'
'-y+1/2,-x+1/2,z'
loop_
_atom_site_label
_atom_site_type_symbol
_atom_site_fract_x
_atom_site_fract_y
_atom_site_fract_z
Nd1 Nd 0.2500 0.2500 0.1644
B1 B 0.2500 0.2500 0.6624
Os1 Os 0.2500 0.7500 0.5000
C1 C 0.2500 0.2500 0.8496

---

5.
# MgAlMo2 | Alexandria | PBE-GGA | relaxed
# size of the total moment	0.00	μB per formula unit
# ρ	6.05	g/cm3
# ΔE_f	0.19	eV/atom
# ΔE to the lowest computed polymorph	186	meV/atom
# crystal system	tetragonal
data_MgAlMo2
_symmetry_space_group_name_H-M 'P 4 m m'
_symmetry_Int_Tables_number 99
_symmetry_space_group_name_Hall 'P 4 -2'
_cell_length_a 2.7253
_cell_length_b 2.7253
_cell_length_c 8.9936
_cell_angle_alpha 90.00
_cell_angle_beta 90.00
_cell_angle_gamma 90.00
loop_
_atom_site_label
_atom_site_type_symbol
_atom_site_fract_x
_atom_site_fract_y
_atom_site_fract_z
Mg1 Mg 0.0000 0.0000 0.0000
Al1 Al 0.5000 0.5000 0.7326
Mo1 Mo 0.0000 0.0000 0.5079
Mo2 Mo 0.5000 0.5000 0.2537

---

6.
# SmPaSbO6 | Alexandria | PBE-GGA | relaxed
# size of the total moment	0.00	μB per formula unit
# ρ	7.38	g/cm3
# formation energy from raw total energies	-24.0	eV per formula unit
# crystal system	trigonal
data_SmPaSbO6
_symmetry_space_group_name_H-M 'P -3 1 c'
_symmetry_Int_Tables_number 163
_symmetry_space_group_name_Hall '-P 3 2c'
_cell_length_a 5.7002
_cell_length_b 5.7002
_cell_length_c 9.5785
_cell_angle_alpha 90.00
_cell_angle_beta 90.00
_cell_angle_gamma 120.00
loop_
_atom_site_label
_atom_site_type_symbol
_atom_site_fract_x
_atom_site_fract_y
_atom_site_fract_z
Sm1 Sm 0.3333 0.6667 0.2500
Pa1 Pa 0.0000 0.0000 0.0000
Sb1 Sb 0.3333 0.6667 0.7500
O1 O 0.0267 0.3370 0.6277

---

7.
# ThBi | Alexandria | PBE-GGA | relaxed
# size of the total moment	0.00	μB per formula unit
# ρ	11.23	g/cm3
# ΔE_f	-0.49	eV/atom
# crystal system	monoclinic
data_ThBi
_symmetry_space_group_name_H-M 'P 1 21/m 1'
_symmetry_Int_Tables_number 11
_symmetry_space_group_name_Hall '-P 2yb'
_cell_length_a 4.1587
_cell_length_b 5.1889
_cell_length_c 6.3782
_cell_angle_alpha 90.00
_cell_angle_beta 108.59
_cell_angle_gamma 90.00
loop_
_atom_site_label
_atom_site_type_symbol
_atom_site_fract_x
_atom_site_fract_y
_atom_site_fract_z
Th1 Th 0.1171 0.2500 0.2418
Bi1 Bi 0.3956 0.2500 0.7831

---

8.
# Mn2IrSe | Alexandria | PBE-GGA | relaxed
# size of the total moment	4.41	μB per formula unit
# ρ	11.41	g/cm3
# formation energy from raw total energies	1.3	eV per formula unit
# crystal system	cubic
data_Mn2IrSe
_symmetry_space_group_name_H-M 'F -4 3 m'
_symmetry_Int_Tables_number 216
_symmetry_space_group_name_Hall 'F -4 2 3'
_cell_length_a 6.0534
_cell_length_b 6.0534
_cell_length_c 6.0534
_cell_angle_alpha 90.00
_cell_angle_beta 90.00
_cell_angle_gamma 90.00
loop_
_atom_site_label
_atom_site_type_symbol
_atom_site_fract_x
_atom_site_fract_y
_atom_site_fract_z
Mn1 Mn 0.0000 0.0000 0.0000
Mn2 Mn 0.2500 0.2500 0.2500
Ir1 Ir 0.0000 0.0000 0.5000
Se1 Se 0.2500 0.2500 0.7500

---

no.,total DFT energy (no corrections) (eV per cell)
1,-102.141
2,-73.305
3,-78.041
4,-65.022
5,-26.229
6,-144.138
7,-24.568
8,-117.350